An optimized crystal structure of Ta2Ir. Source: Alexandria via LeMat-Bulk, functional PBE-GGA.

The structure belongs to space group Fm-3m (No. 225); the cell edges are 6.206, 6.206 and 6.206 Å and the angles 90.00°, 90.00° and 90.00°. The distinct sites, in fractional coordinates, are Ta at (0.250, 0.250, 0.250) and Ir at (0.000, 0.000, 0.000).

Its energy of formation is -0.0010 eV/atom. The density of states at the Fermi level comes out at 14.336 states/eV/cell. Its crystal system is cubic. The value obtained for the final energy is -130.3 eV/cell. The calculated volume comes out at 19.91 Å³/atom.